--- a ---
Entry from Alexandria: an optimized crystal structure of RbGa2I (PBE).

Cell lengths 5.7964, 5.7964, 5.7964 Å; angles 60.00, 60.00, 60.00 degrees
Sites, in units of the cell vectors:
Ga  0.7500  0.7500  0.7500
Ga  0.2500  0.2500  0.2500
I  0.5000  0.5000  0.5000
Rb  0.0000  0.0000  0.0000

Total magnetization   0.0000 μB/atom
SG   Fm-3m, No. 225


--- b ---
Entry from Alexandria: an optimized crystal structure of RbGa2I (PBE).

Cell lengths 5.0014, 5.0014, 12.6767 Å; angles 78.62, 78.62, 90.00 degrees
Sites, in units of the cell vectors:
Rb  0.5000  0.5000  0.0000
Rb  0.2500  0.7500  0.5000
I  0.7500  0.2500  0.5000
I  0.0000  0.0000  0.0000
Ga  0.9785  0.6250  0.2500
Ga  0.3750  0.2285  0.7500
Ga  0.7715  0.1250  0.2500
Ga  0.8750  0.0215  0.7500

Total magnetization   0.0000 μB/atom
SG   I-42d, No. 122


Going by the computed energies, the most stable comes first: b, a.


--- a ---
Entry from Alexandria: an optimized crystal structure of RbGaI3 (PBE).

Cell lengths 5.9662, 9.6453, 9.6958 Å; angles 63.10, 90.63, 90.68 degrees
Sites, in units of the cell vectors:
Ga  0.7632  0.7034  0.6447
Ga  0.7424  0.2969  0.0472
I  0.0416  0.5753  0.4413
I  0.9944  0.5423  0.9792
I  0.4303  0.8999  0.7653
I  0.4974  0.3779  0.7979
I  0.9600  0.0483  0.0962
I  0.5220  0.2382  0.2958
Rb  0.9337  0.1573  0.6604
Rb  0.5383  0.6823  0.1832

Total magnetization   0.0000 μB/atom
SG   P1, No. 1


--- b ---
Entry from Alexandria: an optimized crystal structure of RbGaI3 (PBE).

Cell lengths 8.4863, 9.5825, 11.8418 Å; angles 90.00, 92.75, 90.00 degrees
Sites, in units of the cell vectors:
Rb  0.9632  0.6233  0.2468
Rb  0.4632  0.8767  0.7468
Rb  0.5368  0.1233  0.2532
Rb  0.0368  0.3767  0.7532
I  0.1076  0.0118  0.2359
I  0.8611  0.3093  0.4331
I  0.6764  0.8104  0.4624
I  0.6389  0.8093  0.0669
I  0.6076  0.4882  0.7359
I  0.1389  0.6907  0.5669
I  0.3236  0.1896  0.5376
I  0.3611  0.1907  0.9331
I  0.3924  0.5118  0.2641
I  0.1764  0.6896  0.9624
I  0.8236  0.3104  0.0376
I  0.8924  0.9882  0.7641
Ga  0.5571  0.4076  0.9434
Ga  0.0571  0.0924  0.4434
Ga  0.9429  0.9076  0.5566
Ga  0.4429  0.5924  0.0566

Total magnetization   0.0000 μB/atom
SG   P2_1/c, No. 14


--- c ---
Entry from Alexandria: an optimized crystal structure of RbGaI3 (PBE).

Cell lengths 5.8851, 5.8851, 5.8851 Å; angles 90.00, 90.00, 90.00 degrees
Sites, in units of the cell vectors:
I  0.0000  0.5000  0.0000
I  0.5000  0.0000  0.0000
I  0.0000  0.0000  0.5000
Rb  0.5000  0.5000  0.5000
Ga  0.0000  0.0000  0.0000

Total magnetization   0.0000 μB/atom
SG   Pm-3m, No. 221


--- d ---
Entry from Alexandria: an optimized crystal structure of RbGaI3 (PBE).

Cell lengths 6.8263, 6.8263, 6.8263 Å; angles 90.00, 90.00, 90.00 degrees
Sites, in units of the cell vectors:
Rb  0.0000  0.0000  0.0000
I  0.0000  0.0000  0.5000
I  0.0000  0.5000  0.0000
I  0.5000  0.0000  0.0000
Ga  0.5000  0.5000  0.5000

Total magnetization   0.2000 μB/atom
SG   Pm-3m, No. 221


Going by the computed energies, the most stable comes first: b, a, c, d.


--- a ---
Entry from Alexandria: an optimized crystal structure of RbGaI2 (PBE).

Cell lengths 6.0445, 6.0445, 6.0445 Å; angles 60.00, 60.00, 60.00 degrees
Sites, in units of the cell vectors:
I  0.2500  0.2500  0.2500
I  0.7500  0.7500  0.7500
Rb  0.5000  0.5000  0.5000
Ga  0.0000  0.0000  0.0000

Total magnetization   0.0000 μB/atom
SG   Fm-3m, No. 225


--- b ---
Entry from Alexandria: an optimized crystal structure of RbGaI2 (PBE).

Cell lengths 4.2635, 4.2635, 8.5706 Å; angles 90.00, 90.00, 90.00 degrees
Sites, in units of the cell vectors:
I  0.0000  0.0000  0.7679
I  0.0000  0.0000  0.2321
Rb  0.5000  0.5000  0.5000
Ga  0.5000  0.5000  0.0000

Total magnetization   0.0000 μB/atom
SG   P4/mmm, No. 123


--- c ---
Entry from Alexandria: an optimized crystal structure of RbGaI2 (PBE).

Cell lengths 4.9094, 4.9094, 8.9292 Å; angles 74.04, 74.04, 60.00 degrees
Sites, in units of the cell vectors:
I  0.0731  0.0731  0.7806
I  0.2601  0.2601  0.2197
Rb  0.4994  0.4994  0.5019
Ga  0.6674  0.6674  0.9978

Total magnetization   0.0000 μB/atom
SG   R3m, No. 160


--- d ---
Entry from Alexandria: an optimized crystal structure of RbGaI2 (PBE).

Cell lengths 7.8358, 7.8358, 9.6887 Å; angles 66.15, 66.15, 90.00 degrees
Sites, in units of the cell vectors:
Rb  0.7500  0.2500  0.5000
Rb  0.0000  0.0000  0.0000
Ga  0.5000  0.5000  0.0000
Ga  0.2500  0.7500  0.5000
I  0.3750  0.4190  0.7500
I  0.1690  0.6250  0.2500
I  0.5810  0.1250  0.2500
I  0.8750  0.8310  0.7500

Total magnetization   0.0000 μB/atom
SG   I-42d, No. 122


Going by the computed energies, the most stable comes first: c, d, b, a.


--- a ---
Entry from Alexandria: an optimized crystal structure of RbGa2I3 (PBE).

Cell lengths 4.9672, 4.9794, 10.8317 Å; angles 101.26, 101.55, 89.29 degrees
Sites, in units of the cell vectors:
Ga  0.0841  0.0819  0.2111
Ga  0.7841  0.7862  0.5331
I  0.6277  0.6437  0.2269
I  0.2268  0.2332  0.5213
I  0.9426  0.9358  0.8788
Rb  0.4401  0.4333  0.8726

Total magnetization   0.0000 μB/atom
SG   P1, No. 1


--- b ---
Entry from Alexandria: an optimized crystal structure of RbGa2I3 (PBE).

Cell lengths 4.8303, 8.3185, 13.6712 Å; angles 66.14, 90.00, 90.00 degrees
Sites, in units of the cell vectors:
Ga  0.7500  0.1924  0.8210
Ga  0.2500  0.8076  0.1790
Ga  0.2500  0.2629  0.4949
Ga  0.7500  0.7371  0.5051
I  0.7500  0.0080  0.6458
I  0.7500  0.5390  0.3455
I  0.7500  0.7753  0.0078
I  0.2500  0.4610  0.6545
I  0.2500  0.9920  0.3542
I  0.2500  0.2247  0.9921
Rb  0.7500  0.2962  0.1721
Rb  0.2500  0.7038  0.8279

Total magnetization   0.0000 μB/atom
SG   P2_1/m, No. 11


Going by the computed energies, the most stable comes first: a, b.


--- a ---
Entry from Alexandria: an optimized crystal structure of Rb3GaI4 (PBE).

Cell lengths 7.3627, 10.5031, 12.5469 Å; angles 90.00, 90.00, 90.00 degrees
Sites, in units of the cell vectors:
Rb  0.5589  0.3293  0.2560
Rb  0.5591  0.8435  0.0000
Rb  0.5589  0.3293  0.7440
Rb  0.0590  0.6707  0.7560
Rb  0.0591  0.1565  0.5000
Rb  0.0590  0.6707  0.2440
I  0.5595  0.6789  0.7402
I  0.6235  0.1827  0.0000
I  0.0595  0.3211  0.7598
I  0.5593  0.1360  0.5000
I  0.0593  0.8640  0.0000
I  0.1235  0.8173  0.5000
I  0.5595  0.6789  0.2598
I  0.0595  0.3211  0.2402
Ga  0.5364  0.8225  0.5000
Ga  0.0364  0.1775  0.0000

Total magnetization   0.0000 μB/atom
SG   Pmn2_1, No. 31


--- b ---
Entry from Alexandria: an optimized crystal structure of Rb3GaI4 (PBE).

Cell lengths 8.9102, 8.9402, 10.3391 Å; angles 90.00, 90.00, 109.64 degrees
Sites, in units of the cell vectors:
Rb  0.7500  0.0000  0.3737
Rb  0.7500  0.5000  0.6293
Rb  0.2500  0.5000  0.3707
Rb  0.7500  0.5000  0.1236
Rb  0.2500  0.5000  0.8764
Rb  0.2500  0.0000  0.6263
I  0.9995  0.2244  0.1100
I  0.4995  0.2244  0.8900
I  0.0104  0.7564  0.3647
I  0.5005  0.7756  0.1100
I  0.0005  0.7756  0.8900
I  0.4896  0.2436  0.3647
I  0.5104  0.7564  0.6353
I  0.9896  0.2436  0.6353
Ga  0.7500  0.0000  0.8856
Ga  0.2500  0.0000  0.1144

Total magnetization   0.0000 μB/atom
SG   P2/c, No. 13


Going by the computed energies, the most stable comes first: b, a.


--- a ---
Entry from Alexandria: an optimized crystal structure of Rb2GaI4 (PBE).

Cell lengths 5.7858, 5.7858, 10.2940 Å; angles 106.32, 106.32, 90.00 degrees
Sites, in units of the cell vectors:
Rb  0.3578  0.3578  0.7156
Rb  0.6422  0.6422  0.2844
I  0.8378  0.8378  0.6756
I  0.1622  0.1622  0.3244
I  0.0000  0.5000  0.0000
I  0.5000  0.0000  0.0000
Ga  0.0000  0.0000  0.0000

Total magnetization   0.0000 μB/atom
SG   I4/mmm, No. 139


--- b ---
Entry from Alexandria: an optimized crystal structure of Rb2GaI4 (PBE).

Cell lengths 8.8627, 8.8627, 8.7906 Å; angles 120.27, 120.27, 90.00 degrees
Sites, in units of the cell vectors:
Ga  0.5000  0.5000  0.0000
Rb  0.7500  0.2500  0.5000
Rb  0.2500  0.7500  0.5000
I  0.5865  0.5865  0.7770
I  0.1905  0.1905  0.7770
I  0.4135  0.8095  0.2230
I  0.8095  0.4135  0.2230

Total magnetization   0.1247 μB/atom
SG   I-42m, No. 121


Going by the computed energies, the most stable comes first: a, b.


--- a ---
Entry from Alexandria: an optimized crystal structure of RbGaSbI2 (PBE).

Cell lengths 6.1965, 6.1965, 5.4664 Å; angles 90.00, 90.00, 90.00 degrees
Sites, in units of the cell vectors:
Ga  0.0000  0.0000  0.0000
I  0.5000  0.0000  0.0000
I  0.0000  0.5000  0.0000
Rb  0.5000  0.5000  0.5000
Sb  0.0000  0.0000  0.5000

Total magnetization   0.3710 μB/atom
SG   P4/mmm, No. 123


--- b ---
Entry from Alexandria: an optimized crystal structure of RbGaSbI2 (PBE).

Cell lengths 6.8639, 6.8639, 6.8032 Å; angles 90.00, 90.00, 90.00 degrees
Sites, in units of the cell vectors:
I  0.0000  0.5000  0.0000
I  0.5000  0.0000  0.0000
Ga  0.5000  0.5000  0.5000
Sb  0.0000  0.0000  0.5000
Rb  0.0000  0.0000  0.0000

Total magnetization   0.6121 μB/atom
SG   P4/mmm, No. 123


Going by the computed energies, the most stable comes first: a, b.


--- a ---
Entry from Alexandria: an optimized crystal structure of RbGaTe2I (PBE).

Cell lengths 5.4548, 5.4548, 6.4249 Å; angles 90.00, 90.00, 90.00 degrees
Sites, in units of the cell vectors:
Rb  0.5000  0.5000  0.5000
Te  0.0000  0.5000  0.0000
Te  0.5000  0.0000  0.0000
Ga  0.0000  0.0000  0.0000
I  0.0000  0.0000  0.5000

Total magnetization   0.0004 μB/atom
SG   P4/mmm, No. 123


--- b ---
Entry from Alexandria: an optimized crystal structure of RbGaTe2I (PBE).

Cell lengths 6.6947, 6.6947, 6.7353 Å; angles 90.00, 90.00, 90.00 degrees
Sites, in units of the cell vectors:
Te  0.5000  0.0000  0.0000
Te  0.0000  0.5000  0.0000
Rb  0.0000  0.0000  0.0000
Ga  0.5000  0.5000  0.5000
I  0.0000  0.0000  0.5000

Total magnetization   0.6059 μB/atom
SG   P4/mmm, No. 123


Going by the computed energies, the most stable comes first: a, b.